DFT (PBE-GGA) results for a geometry-optimized Y3Er4Cu4 structure. Values from VASP.

Cell and atoms, written as Quantum ESPRESSO input:
```
&SYSTEM
  ibrav = 0, nat = 11, ntyp = 3
/
ATOMIC_SPECIES
Y 88.91 Y.upf
Er 167.26 Er.upf
Cu 63.55 Cu.upf
CELL_PARAMETERS angstrom
-2.397 3.675 7.479
2.397 -3.675 7.479
2.397 3.675 -7.479
ATOMIC_POSITIONS crystal
Y 0.000 0.000 0.000
Y 0.395 0.895 0.500
Y 0.605 0.105 0.500
Er 0.046 0.328 0.718
Er 0.390 0.672 0.718
Er 0.610 0.328 0.282
Er 0.954 0.672 0.282
Cu 0.204 0.204 0.000
Cu 0.332 0.500 0.832
Cu 0.668 0.500 0.168
Cu 0.796 0.796 0.000
```

Energy of formation   -0.102 eV per atom
Uncorrected energy   -5.01 eV/atom

***

DFT (PBE-GGA) results for a geometry-optimized RbHF structure. Values from VASP.

Cell and atoms, written as Quantum ESPRESSO input:
```
&SYSTEM
  ibrav = 0, nat = 6, ntyp = 3
/
ATOMIC_SPECIES
Rb 85.47 Rb.upf
H 1.01 H.upf
F 19.00 F.upf
CELL_PARAMETERS angstrom
4.574 0.000 0.000
0.000 5.663 0.000
0.000 0.000 5.371
ATOMIC_POSITIONS crystal
Rb 0.250 0.250 0.194
Rb 0.750 0.750 0.806
H 0.250 0.750 0.397
H 0.750 0.250 0.603
F 0.250 0.750 0.109
F 0.750 0.250 0.891
```

Uncorrected energy   -3.07 eV/atom

***

DFT (PBE-GGA) results for a geometry-optimized BaSr2Ti structure. Values from VASP.

Cell and atoms, written as Quantum ESPRESSO input:
```
&SYSTEM
  ibrav = 0, nat = 4, ntyp = 3
/
ATOMIC_SPECIES
Ba 137.33 Ba.upf
Sr 87.62 Sr.upf
Ti 47.87 Ti.upf
CELL_PARAMETERS angstrom
0.000 4.359 4.359
4.359 0.000 4.359
4.359 4.359 0.000
ATOMIC_POSITIONS crystal
Ba 0.000 0.000 0.000
Sr 0.250 0.250 0.250
Sr 0.750 0.750 0.750
Ti 0.500 0.500 0.500
```

Energy of formation   0.639 eV per atom
Uncorrected energy   -2.66 eV/atom

***

DFT (PBE-GGA) results for a geometry-optimized Pm2S2Cl structure. Values from VASP.

Cell and atoms, written as Quantum ESPRESSO input:
```
&SYSTEM
  ibrav = 0, nat = 5, ntyp = 3
/
ATOMIC_SPECIES
Pm 145.00 Pm.upf
S 32.06 S.upf
Cl 35.45 Cl.upf
CELL_PARAMETERS angstrom
-1.899 2.063 7.984
1.899 -2.063 7.984
1.899 2.063 -7.984
ATOMIC_POSITIONS crystal
Pm 0.148 0.148 0.000
Pm 0.852 0.852 0.000
S 0.325 0.325 0.000
S 0.675 0.675 0.000
Cl 0.000 0.500 0.500
```

Formation energy from raw total energies   -2.06 eV per atom
Uncorrected energy   -5.98 eV/atom

***

DFT (PBE-GGA) results for a geometry-optimized CsNi2HgMo structure. Values from VASP.

Cell and atoms, written as Quantum ESPRESSO input:
```
&SYSTEM
  ibrav = 0, nat = 5, ntyp = 4
/
ATOMIC_SPECIES
Cs 132.91 Cs.upf
Ni 58.69 Ni.upf
Hg 200.59 Hg.upf
Mo 95.94 Mo.upf
CELL_PARAMETERS angstrom
4.755 0.000 0.000
0.000 4.755 0.000
0.000 0.000 5.619
ATOMIC_POSITIONS crystal
Cs 0.000 0.000 0.000
Ni 0.000 0.500 0.500
Ni 0.500 0.000 0.500
Hg 0.500 0.500 0.000
Mo 0.500 0.500 0.500
```

Energy of formation   0.965 eV per atom
Uncorrected energy   -3.74 eV/atom

***

DFT (PBE-GGA) results for a geometry-optimized TbZn6Ru2 structure. Values from VASP.

Cell and atoms, written as Quantum ESPRESSO input:
```
&SYSTEM
  ibrav = 0, nat = 9, ntyp = 3
/
ATOMIC_SPECIES
Tb 158.93 Tb.upf
Zn 65.41 Zn.upf
Ru 101.07 Ru.upf
CELL_PARAMETERS angstrom
-2.196 2.920 5.902
2.196 -2.920 5.902
2.196 2.920 -5.902
ATOMIC_POSITIONS crystal
Tb 0.000 0.000 0.000
Zn 0.058 0.295 0.762
Zn 0.301 0.500 0.801
Zn 0.467 0.705 0.762
Zn 0.533 0.295 0.238
Zn 0.699 0.500 0.199
Zn 0.942 0.705 0.238
Ru 0.390 0.890 0.500
Ru 0.610 0.110 0.500
```

Energy of formation   -0.048 eV per atom
Uncorrected energy   -3.47 eV/atom

***

DFT (PBE-GGA) results for a geometry-optimized Sr3Hg8Pb2 structure. Values from VASP.

Cell and atoms, written as Quantum ESPRESSO input:
```
&SYSTEM
  ibrav = 0, nat = 13, ntyp = 3
/
ATOMIC_SPECIES
Sr 87.62 Sr.upf
Hg 200.59 Hg.upf
Pb 207.20 Pb.upf
CELL_PARAMETERS angstrom
3.036 1.753 13.152
-3.036 1.753 13.152
0.000 -3.506 13.152
ATOMIC_POSITIONS crystal
Sr 0.000 0.000 0.000
Sr 0.239 0.239 0.239
Sr 0.761 0.761 0.761
Hg 0.192 0.704 0.704
Hg 0.296 0.296 0.808
Hg 0.296 0.808 0.296
Hg 0.319 0.319 0.319
Hg 0.681 0.681 0.681
Hg 0.704 0.192 0.704
Hg 0.704 0.704 0.192
Hg 0.808 0.296 0.296
Pb 0.395 0.395 0.395
Pb 0.605 0.605 0.605
```

Energy of formation   -0.222 eV per atom
Uncorrected energy   -1.37 eV/atom

***

DFT (PBE-GGA) results for a geometry-optimized Na3NiOs structure. Values from VASP.

Cell and atoms, written as Quantum ESPRESSO input:
```
&SYSTEM
  ibrav = 0, nat = 5, ntyp = 3
/
ATOMIC_SPECIES
Na 22.99 Na.upf
Ni 58.69 Ni.upf
Os 190.23 Os.upf
CELL_PARAMETERS angstrom
5.611 0.000 0.000
0.000 5.611 0.000
0.000 0.000 5.611
ATOMIC_POSITIONS crystal
Na 0.000 0.000 0.500
Na 0.000 0.500 0.000
Na 0.500 0.000 0.000
Ni 0.500 0.500 0.500
Os 0.000 0.000 0.000
```

Energy of formation   1.758 eV per atom
Uncorrected energy   -2.44 eV/atom

***

DFT (PBE-GGA) results for a geometry-optimized Al2In2Pt structure. Values from VASP.

Cell and atoms, written as Quantum ESPRESSO input:
```
&SYSTEM
  ibrav = 0, nat = 10, ntyp = 3
/
ATOMIC_SPECIES
Al 26.98 Al.upf
In 114.82 In.upf
Pt 195.08 Pt.upf
CELL_PARAMETERS angstrom
6.623 0.000 0.000
0.000 6.623 0.000
0.000 0.000 4.683
ATOMIC_POSITIONS crystal
Al 0.147 0.353 0.000
Al 0.353 0.853 0.000
Al 0.647 0.147 0.000
Al 0.853 0.647 0.000
In 0.171 0.671 0.500
In 0.329 0.171 0.500
In 0.671 0.829 0.500
In 0.829 0.329 0.500
Pt 0.000 0.000 0.000
Pt 0.500 0.500 0.000
```

Energy of formation   -0.171 eV per atom
Uncorrected energy   -3.97 eV/atom

***

DFT (PBE-GGA) results for a geometry-optimized LiErTm2S4 structure. Values from VASP.

Cell and atoms, written as Quantum ESPRESSO input:
```
&SYSTEM
  ibrav = 0, nat = 8, ntyp = 4
/
ATOMIC_SPECIES
Li 6.94 Li.upf
Er 167.26 Er.upf
Tm 168.93 Tm.upf
S 32.06 S.upf
CELL_PARAMETERS angstrom
6.638 0.000 0.000
0.000 3.825 0.000
-2.200 0.000 6.264
ATOMIC_POSITIONS crystal
Li 0.000 0.000 0.000
Er 0.000 0.500 0.500
Tm 0.500 0.000 0.500
Tm 0.500 0.500 0.000
S 0.247 0.500 0.246
S 0.248 0.000 0.755
S 0.752 0.000 0.245
S 0.753 0.500 0.754
```

Formation energy from raw total energies   -1.92 eV per atom
Uncorrected energy   -5.91 eV/atom

***

DFT (PBE-GGA) results for a geometry-optimized ReMo2PdN structure. Values from VASP.

Cell and atoms, written as Quantum ESPRESSO input:
```
&SYSTEM
  ibrav = 0, nat = 5, ntyp = 4
/
ATOMIC_SPECIES
Re 186.21 Re.upf
Mo 95.94 Mo.upf
Pd 106.42 Pd.upf
N 14.01 N.upf
CELL_PARAMETERS angstrom
4.118 0.000 0.000
0.000 4.118 0.000
0.000 0.000 4.047
ATOMIC_POSITIONS crystal
Re 0.000 0.000 0.000
Mo 0.000 0.500 0.500
Mo 0.500 0.000 0.500
Pd 0.500 0.500 0.000
N 0.000 0.000 0.500
```

Formation energy from raw total energies   -0.02 eV per atom
Uncorrected energy   -9.55 eV/atom

***

DFT (PBE-GGA) results for a geometry-optimized Tb2YZnN structure. Values from VASP.

Cell and atoms, written as Quantum ESPRESSO input:
```
&SYSTEM
  ibrav = 0, nat = 5, ntyp = 4
/
ATOMIC_SPECIES
Tb 158.93 Tb.upf
Y 88.91 Y.upf
Zn 65.41 Zn.upf
N 14.01 N.upf
CELL_PARAMETERS angstrom
4.807 0.000 0.000
0.000 4.807 0.000
0.000 0.000 4.774
ATOMIC_POSITIONS crystal
Tb 0.000 0.500 0.000
Tb 0.500 0.000 0.000
Y 0.000 0.000 0.500
Zn 0.500 0.500 0.500
N 0.000 0.000 0.000
```

Formation energy from raw total energies   -0.78 eV per atom
Uncorrected energy   -5.85 eV/atom